CsNbSN2 meta-GGA SCAN single point on PBEsol structure; space group = P4/mmm, No. 123; formation energy without anion corrections = 1176 kJ/mol of formula units; crystal system = tetragonal; Fermi-level density of states = 3.847 states/eV/cell
1.0
4.0971 0.0000 0.0000
0.0000 4.0971 0.0000
0.0000 0.0000 5.8499
Cs Nb S N
1 1 1 2
Direct
0.0000 0.0000 0.0000
0.5000 0.5000 0.5000
0.0000 0.0000 0.5000
0.0000 0.5000 0.0000
0.5000 0.0000 0.0000



Cr8O21 meta-GGA SCAN single point on PBEsol structure; space group = P-1, No. 2; formation energy without anion corrections = -5239 kJ/mol of formula units; crystal system = triclinic
1.0
-0.7686 -5.2937 0.1774
5.0312 -2.2824 -3.4895
9.0483 -1.3036 8.0309
Cr O
8 21
Direct
0.7029 0.6661 0.1026
0.2971 0.3339 0.8974
0.3488 0.1238 0.2510
0.6512 0.8762 0.7490
0.8535 0.1422 0.0714
0.1465 0.8578 0.9286
0.7337 0.2618 0.5247
0.2663 0.7382 0.4753
0.3804 0.9525 0.3887
0.6196 0.0475 0.6113
0.1904 0.7956 0.5919
0.8096 0.2044 0.4081
0.2577 0.3680 0.2541
0.7423 0.6320 0.7459
0.0860 0.1589 0.9431
0.9140 0.8411 0.0569
0.6676 0.6279 0.2347
0.3324 0.3721 0.7653
0.5776 0.2143 0.9640
0.4224 0.7857 0.0360
0.6298 0.0898 0.1895
0.3702 0.9102 0.8105
0.0209 0.7101 0.4166
0.9791 0.2899 0.5834
0.8150 0.4343 0.0685
0.1850 0.5657 0.9315
0.8630 0.9370 0.8252
0.1370 0.0630 0.1748
0.5000 0.5000 0.5000



HfZrSbTe2 meta-GGA SCAN single point on PBEsol structure; space group = P4/mmm, No. 123; formation energy without anion corrections = 249 kJ/mol of formula units; crystal system = tetragonal; Fermi-level density of states = 4.249 states/eV/cell
1.0
-3.2117 3.9580 1.7276
-4.1166 -3.4566 0.2664
1.3268 -1.1814 5.1735
Sb Te Hf Zr
1 2 1 1
Direct
0.0000 0.0000 0.5000
0.0000 0.5000 0.0000
0.5000 0.0000 0.0000
0.5000 0.5000 0.5000
0.0000 0.0000 0.0000



Tc2MoAs meta-GGA SCAN single point on PBEsol structure; space group = Pmm2, No. 25; crystal system = orthorhombic; formation energy from the elements = 0.037 eV per atom; Fermi-level density of states = 2.571 states/eV/cell
1.0
-1.0343 0.7526 2.5691
-1.0498 -3.8554 0.7067
4.4490 -0.8381 2.0366
As Mo Tc
1 1 2
Direct
0.0000 0.0000 0.4957
0.5000 0.5000 0.7497
0.0000 0.0000 0.9986
0.5000 0.5000 0.2560



Mn2MoAu meta-GGA SCAN single point on PBEsol structure; space group = R-3m, No. 166; crystal system = trigonal; formation energy from the elements = 0.072 eV per atom; Fermi-level density of states = 3.406 states/eV/cell
1.0
2.8164 0.0000 0.0000
1.4082 2.4391 0.0000
1.4082 0.8130 8.4378
Au Mn Mo
1 2 1
Direct
0.0000 0.0000 0.0000
0.2457 0.2457 0.2629
0.7543 0.7543 0.7371
0.5000 0.5000 0.5000



GaC2Cl meta-GGA SCAN single point on PBEsol structure; space group = Fm-3m, No. 225; formation energy without anion corrections = 1098 kJ/mol of formula units; crystal system = cubic; Fermi-level density of states = 2.170 states/eV/cell
1.0
4.0589 0.0000 0.0000
2.0294 3.5151 0.0000
2.0294 1.1717 3.3140
C Ga Cl
2 1 1
Direct
0.2500 0.2500 0.2500
0.7500 0.7500 0.7500
0.5000 0.5000 0.5000
0.0000 0.0000 0.0000